[1]
The following is a GGA+U calculation of a relaxed NaMoO3 crystal, from Alexandria via LeMat-Bulk.

```
NaMoO3
1.0
2.768 1.598 4.524
-2.768 1.598 4.524
0.000 -3.196 4.524
Na Mo O
2 2 6
Direct
0.000 0.000 0.000 Na
0.500 0.500 0.500 Na
0.250 0.250 0.250 Mo
0.750 0.750 0.750 Mo
0.001 0.444 0.557 O
0.057 0.944 0.501 O
0.444 0.557 0.001 O
0.501 0.057 0.944 O
0.557 0.001 0.444 O
0.944 0.501 0.057 O
```

Results
The energy comes out at -6.3774 eV per atom. Its space group is R3c. For the mass density, the calculation gives 4617 kg/m³.

***

[2]
The following is a GGA+U calculation of a relaxed Ac2MnSe2O2 crystal, from Alexandria via LeMat-Bulk.

```
Ac2MnSe2O2
1.0
5.991 -2.059 0.000
5.991 2.059 0.000
-3.852 0.000 6.347
Ac Mn Se O
2 1 2 2
Direct
0.193 0.193 0.242 Ac
0.807 0.807 0.758 Ac
0.000 0.000 0.500 Mn
0.444 0.444 0.187 Se
0.556 0.556 0.813 Se
0.195 0.195 0.579 O
0.805 0.805 0.421 O
```

Results
The energy comes out at -7.0320 eV per atom. Its space group is C2/m. For the mass density, the calculation gives 7410 kg/m³.

***

| no. | M_tot (μB/cell) |
| --- | --- |
| 1 | 2.0 |
| 2 | 5.0 |